No. 1
A relaxed structure of SrTl3Rh, computed with GGA-PBE.

Properties
- Space group: Pnma
- DFT total energy: -3.44 eV per atom
- Energy of formation from the pure elements: -20.37 kJ per mole of atoms
- E above lowest polymorph: 0 meV per atom

Unit cell a=9.5785 b=4.6829 c=11.9552 alpha=90.00 beta=90.00 gamma=90.00
Fractional coordinates of all 20 atoms:
Sr  0.2042  0.2500  0.0003
Sr  0.2958  0.7500  0.5003
Sr  0.7042  0.2500  0.4997
Sr  0.7958  0.7500  0.9997
Tl  0.0582  0.2500  0.4151
Tl  0.1135  0.7500  0.2030
Tl  0.1398  0.7500  0.7963
Tl  0.3602  0.2500  0.2963
Tl  0.3865  0.2500  0.7030
Tl  0.4418  0.7500  0.9151
Tl  0.5582  0.2500  0.0849
Tl  0.6135  0.7500  0.2970
Tl  0.6398  0.7500  0.7037
Tl  0.8602  0.2500  0.2037
Tl  0.8865  0.2500  0.7970
Tl  0.9418  0.7500  0.5849
Rh  0.1076  0.2500  0.6482
Rh  0.3924  0.7500  0.1482
Rh  0.6076  0.2500  0.8518
Rh  0.8924  0.7500  0.3518

No. 2
A relaxed structure of SrTl6Rh6, computed with GGA-PBE.

Properties
- Space group: Immm
- DFT total energy: -4.68 eV per atom
- Energy of formation from the pure elements: -6.34 kJ per mole of atoms

Unit cell a=7.3509 b=7.3509 c=7.3509 alpha=133.98 beta=102.35 gamma=95.25
Fractional coordinates of all 13 atoms:
Sr  0.0000  0.0000  0.0000
Tl  0.1738  0.6738  0.5000
Tl  0.3350  0.0000  0.3350
Tl  0.3392  0.3392  0.0000
Tl  0.6608  0.6608  0.0000
Tl  0.6650  0.0000  0.6650
Tl  0.8262  0.3262  0.5000
Rh  0.0000  0.0000  0.5000
Rh  0.0000  0.5000  0.0000
Rh  0.2446  0.5000  0.7446
Rh  0.5000  0.0000  0.0000
Rh  0.5000  0.5000  0.5000
Rh  0.7554  0.5000  0.2554

- What is the energy of formation from the pure elements in the first record?
  -20.37 kJ per mole of atoms

- Which value of DFT total energy does entry 1 give?
  -3.44 eV per atom

- DFT total energy of number 1 (SrTl3Rh)?
  -3.44 eV per atom

- What is the energy of formation from the pure elements in the second record?
  -6.34 kJ per mole of atoms